A plane-wave DFT calculation with PBEsol was carried out for a relaxed structure of LiTl.

The structure in POSCAR format:
```
LiTl
1.0
3.435 0.000 0.000
-1.717 5.459 -0.013
0.000 -2.021 6.763
Tl Li
3 3
direct
0.023 0.046 0.594
0.732 0.464 0.930
0.678 0.357 0.353
0.381 0.761 0.260
0.329 0.659 0.680
0.023 0.046 0.016
```

Properties
energy = -15.05 eV per cell
DOS(E_F) = 0.71 states/eV/f.u.
energy of formation = -0.21 eV per atom